# 1
# PBE Na2PuAsS4, optimized geometry
data_Na2PuAsS4
_chemical_formula_sum 'Na2 Pu1 As1 S4'
_cell_length_a 6.826
_cell_length_b 3.937
_cell_length_c 7.001
_cell_angle_alpha 90.00
_cell_angle_beta 109.14
_cell_angle_gamma 90.00
_space_group_name_H-M_alt 'P 1'
_space_group_IT_number 1
loop_
_space_group_symop_operation_xyz
'x,y,z'
loop_
_atom_site_label
_atom_site_fract_x
_atom_site_fract_y
_atom_site_fract_z
_atom_site_occupancy
Na1 0.000 0.000 0.000 1
Na2 0.500 0.500 0.000 1
Pu1 0.000 0.500 0.500 1
As1 0.500 0.000 0.500 1
S1 0.253 0.000 0.723 1
S2 0.273 0.500 0.282 1
S3 0.727 0.500 0.718 1
S4 0.747 0.000 0.277 1
# - VASP energy (eV for the cell shown) = -46.12
# - total magnetization (μB/cell) = 5.00
# - N(E_F) (states/eV per cell) = 9.09

# 2
# PBE K2LiCo, optimized geometry
data_K2LiCo
_chemical_formula_sum 'K2 Li1 Co1'
_cell_length_a 3.658
_cell_length_b 3.658
_cell_length_c 10.004
_cell_angle_alpha 90.00
_cell_angle_beta 90.00
_cell_angle_gamma 90.00
_space_group_name_H-M_alt 'P 1'
_space_group_IT_number 1
loop_
_space_group_symop_operation_xyz
'x,y,z'
loop_
_atom_site_label
_atom_site_fract_x
_atom_site_fract_y
_atom_site_fract_z
_atom_site_occupancy
K1 0.000 0.000 0.000 1
K2 0.500 0.500 0.414 1
Li1 0.000 0.000 0.685 1
Co1 0.500 0.500 0.747 1
# - VASP energy (eV for the cell shown) = -8.69
# - total magnetization (μB/cell) = 1.34
# - N(E_F) (states/eV per cell) = 5.43
# - E above lowest polymorph (eV/atom) = 0.000

# 3
# PBE TaGeSb2S, optimized geometry
data_TaGeSb2S
_chemical_formula_sum 'Ta1 Ge1 Sb2 S1'
_cell_length_a 5.316
_cell_length_b 5.316
_cell_length_c 4.998
_cell_angle_alpha 90.00
_cell_angle_beta 90.00
_cell_angle_gamma 90.00
_space_group_name_H-M_alt 'P 1'
_space_group_IT_number 1
loop_
_space_group_symop_operation_xyz
'x,y,z'
loop_
_atom_site_label
_atom_site_fract_x
_atom_site_fract_y
_atom_site_fract_z
_atom_site_occupancy
Ta1 0.000 0.000 0.000 1
Ge1 0.000 0.000 0.500 1
Sb1 0.000 0.500 0.000 1
Sb2 0.500 0.000 0.000 1
S1 0.500 0.500 0.500 1
# - VASP energy (eV for the cell shown) = -25.99
# - total magnetization (μB/cell) = 0.74
# - N(E_F) (states/eV per cell) = 4.36
# - E above lowest polymorph (eV/atom) = 0.000